The following is a DFT calculation (GGA+U) of a relaxed structure of Ac3Be2CrO8.

a b c (Å): 5.4454 5.4454 6.9166
angles (deg): 90.00 90.00 120.00
Fractional positions:
Ac1 0.0000 0.0000 0.0000
Ac2 0.3333 0.6667 0.6635
Ac3 0.6667 0.3333 0.3365
Be1 0.3333 0.6667 0.2217
Be2 0.6667 0.3333 0.7783
Cr1 0.0000 0.0000 0.5000
O1 0.1691 0.3381 0.3195
O2 0.1691 0.8309 0.3195
O3 0.3333 0.6667 0.9956
O4 0.3381 0.1691 0.6805
O5 0.6619 0.8309 0.3195
O6 0.6667 0.3333 0.0044
O7 0.8309 0.1691 0.6805
O8 0.8309 0.6619 0.6805

Properties
Raw total energy in eV/atom: -7.691
Space group: P-3m1, No. 164